Entry 1:
This record from the Alexandria database describes crystalline Zr2CuTc at its relaxed geometry. The functional is PBE.

a = 5.9790 Å, b = 5.9790 Å, c = 5.9790 Å
α = 57.96°, β = 152.67°, γ = 129.96°
Fractional positions:
Zr1 0.0000 0.2478 0.2478
Zr2 0.0000 0.7522 0.7522
Cu1 0.0000 0.0000 0.0000
Tc1 0.0000 0.5000 0.5000

Output
energy of formation = 221.5 kJ/mol of formula units
crystal system = orthorhombic
symmetry = Immm (71)

Entry 2:
This record from the Alexandria database describes crystalline Zr2CuTc at its relaxed geometry. The functional is PBE.

a = 8.7843 Å, b = 8.7843 Å, c = 8.7843 Å
α = 20.88°, β = 20.88°, γ = 20.88°
Fractional positions:
Cu1 0.4930 0.4930 0.4930
Tc1 0.7527 0.7527 0.7527
Zr1 0.0116 0.0116 0.0116
Zr2 0.2427 0.2427 0.2427

Output
energy of formation = 96.3 kJ/mol of formula units
crystal system = trigonal
symmetry = R3m (160)

> Look up the energy of formation of the second one.

96.3 kJ/mol of formula units

What did the second record say?
This record from the Alexandria database describes crystalline Zr2CuTc at its relaxed geometry. The functional is PBE.

a = 8.7843 Å, b = 8.7843 Å, c = 8.7843 Å
α = 20.88°, β = 20.88°, γ = 20.88°
Fractional positions:
Cu1 0.4930 0.4930 0.4930
Tc1 0.7527 0.7527 0.7527
Zr1 0.0116 0.0116 0.0116
Zr2 0.2427 0.2427 0.2427

Output
energy of formation = 96.3 kJ/mol of formula units
crystal system = trigonal
symmetry = R3m (160)